1.
4
Lattice="-2.431 -0.717 -0.900 1.064 -2.201 -1.122 -1.274 -3.992 6.619" Properties=species:S:1:pos:R:3 comment="FeRe2Mo, relaxed, DFT PBE" total_magnetization_mub_per_fu=0.4 energy_ev_per_atom=-10.92 spacegroup="P4/mmm, No. 123" polymorph_energy_kj_per_mol_atoms=1.7 rho_g_cm3=15.36 volume_a3_per_atom=14.2 pbc="T T T"
Fe -1.002 -2.457 0.644
Re -0.603 -1.889 3.132
Re -0.034 -0.107 0.178
Mo -1.639 -4.453 3.953



2.
8
Lattice="3.714 0.000 0.000 0.000 3.714 0.000 1.857 1.857 9.222" Properties=species:S:1:pos:R:3 comment="FeRe2Mo, relaxed, DFT PBE" total_magnetization_mub_per_fu=2.3 energy_ev_per_atom=-10.21 spacegroup="I-42d, No. 122" polymorph_energy_kj_per_mol_atoms=69.6 rho_g_cm3=13.68 volume_a3_per_atom=15.9 pbc="T T T"
Re 2.786 2.921 6.916
Re 4.643 4.507 6.916
Fe 1.857 1.857 0.000
Mo 3.714 1.857 4.611
Mo 0.000 0.000 0.000
Re 1.064 2.786 2.305
Fe 1.857 3.714 4.611
Re 2.650 0.929 2.305



For the records above, the corresponding energy relative to the elements values read 130, 834 meV per atom.